No. 1
Er2PaSn: optimized geometry, PBE.

Cell lengths 4.5472, 4.8022, 4.8022 Å; angles 90.00, 90.00, 90.00 degrees
Last column: nearest neighbours and their distance in Å.
Sites, in units of the cell vectors:
Pa: 0.5000 0.0000 0.0000  8 Er 3.31, 4 Sn 3.40
Sn: 0.5000 0.5000 0.5000  8 Er 3.31, 4 Pa 3.40
Er: 0.0000 0.0000 0.5000  4 Sn 3.31, 4 Pa 3.31, 4 Er 3.40
Er: 0.0000 0.5000 0.0000  4 Sn 3.31, 4 Pa 3.31, 4 Er 3.40

Space group: P4/mmm
Calculated formation energy (eV per atom): -0.203
D(E_F) (states/eV per atom): 1.301
Energy above the lowest structure with this stoichiometry (meV/atom): 0

---

No. 2
ErPaSn2: optimized geometry, PBE.

Cell lengths 5.3042, 5.3042, 5.3042 Å; angles 60.00, 60.00, 60.00 degrees
Last column: nearest neighbours and their distance in Å.
Sites, in units of the cell vectors:
Pa: 0.0000 0.0000 0.0000  8 Sn 3.25
Sn: 0.2500 0.2500 0.2500  4 Pa 3.25, 4 Er 3.25
Sn: 0.7500 0.7500 0.7500  4 Pa 3.25, 4 Er 3.25
Er: 0.5000 0.5000 0.5000  8 Sn 3.25

Space group: Fm-3m
Calculated formation energy (eV per atom): -0.273
D(E_F) (states/eV per atom): 2.013
Energy above the lowest structure with this stoichiometry (meV/atom): 97

---

No. 3
ErPaSn2: optimized geometry, PBE.

Cell lengths 4.3660, 4.8621, 4.8621 Å; angles 90.00, 90.00, 90.00 degrees
Last column: nearest neighbours and their distance in Å.
Sites, in units of the cell vectors:
Pa: 0.5000 0.5000 0.5000  8 Sn 3.27, 4 Er 3.44
Sn: 0.0000 0.0000 0.5000  4 Pa 3.27, 4 Er 3.27, 4 Sn 3.44
Sn: 0.0000 0.5000 0.0000  4 Pa 3.27, 4 Er 3.27, 4 Sn 3.44
Er: 0.5000 0.0000 0.0000  8 Sn 3.27, 4 Pa 3.44

Space group: P4/mmm
Calculated formation energy (eV per atom): -0.362
D(E_F) (states/eV per atom): 1.251
Energy above the lowest structure with this stoichiometry (meV/atom): 8

---

No. 4
ErPaSn2: optimized geometry, PBE.

Cell lengths 3.2892, 3.2892, 11.9094 Å; angles 82.06, 82.06, 60.00 degrees
Last column: nearest neighbours and their distance in Å.
Sites, in units of the cell vectors:
Pa: 0.0000 0.0000 0.0000  2 Sn 3.18, 6 Pa 3.29
Sn: 0.0902 0.0902 0.7293  1 Pa 3.18, 6 Sn 3.29, 3 Er 3.30
Sn: 0.9098 0.9098 0.2707  1 Pa 3.18, 6 Sn 3.29, 3 Er 3.30
Er: 0.5000 0.5000 0.5000  6 Er 3.29, 6 Sn 3.30

Space group: R-3m
Calculated formation energy (eV per atom): 0.059
D(E_F) (states/eV per atom): 1.711
Energy above the lowest structure with this stoichiometry (meV/atom): 429

---

No. 5
Er2PaSn: optimized geometry, PBE.

Cell lengths 3.7678, 3.7678, 7.4685 Å; angles 90.00, 90.00, 90.00 degrees
Last column: nearest neighbours and their distance in Å.
Sites, in units of the cell vectors:
Pa: 0.5000 0.5000 0.5000  8 Er 3.33
Sn: 0.5000 0.5000 0.0000  8 Er 3.18
Er: 0.0000 0.0000 0.7675  4 Sn 3.18, 4 Pa 3.33, 1 Er 3.47
Er: 0.0000 0.0000 0.2325  4 Sn 3.18, 4 Pa 3.33, 1 Er 3.47

Space group: P4/mmm
Calculated formation energy (eV per atom): -0.161
D(E_F) (states/eV per atom): 0.939
Energy above the lowest structure with this stoichiometry (meV/atom): 42

---

No. 6
Er2PaSn: optimized geometry, PBE.

Cell lengths 5.3021, 5.3021, 5.3021 Å; angles 60.00, 60.00, 60.00 degrees
Last column: nearest neighbours and their distance in Å.
Sites, in units of the cell vectors:
Pa: 0.5000 0.5000 0.5000  8 Er 3.25
Sn: 0.0000 0.0000 0.0000  8 Er 3.25
Er: 0.2500 0.2500 0.2500  4 Pa 3.25, 4 Sn 3.25
Er: 0.7500 0.7500 0.7500  4 Pa 3.25, 4 Sn 3.25

Space group: Fm-3m
Calculated formation energy (eV per atom): 0.023
D(E_F) (states/eV per atom): 1.784
Energy above the lowest structure with this stoichiometry (meV/atom): 226

---

No. 7
ErPaTlSn: optimized geometry, PBE.

Cell lengths 5.3301, 5.3301, 5.3301 Å; angles 60.00, 60.00, 60.00 degrees
Last column: nearest neighbours and their distance in Å.
Sites, in units of the cell vectors:
Tl: 0.7500 0.7500 0.7500  4 Er 3.26, 4 Pa 3.26
Pa: 0.5000 0.5000 0.5000  4 Tl 3.26, 4 Sn 3.26
Sn: 0.2500 0.2500 0.2500  4 Pa 3.26, 4 Er 3.26
Er: 0.0000 0.0000 0.0000  4 Tl 3.26, 4 Sn 3.26

Space group: F-43m
Calculated formation energy (eV per atom): -0.108
D(E_F) (states/eV per atom): 1.953

---

No. 8
TbEr2Pa: optimized geometry, PBE.

Cell lengths 3.3986, 3.3986, 10.1122 Å; angles 90.00, 90.00, 90.00 degrees
Last column: nearest neighbours and their distance in Å.
Sites, in units of the cell vectors:
Pa: 0.5000 0.5000 0.0000  8 Er 3.37, 4 Pa 3.40
Tb: 0.5000 0.5000 0.5000  4 Tb 3.40, 8 Er 3.61
Er: 0.0000 0.0000 0.7660  4 Pa 3.37, 4 Er 3.40, 4 Tb 3.61
Er: 0.0000 0.0000 0.2340  4 Pa 3.37, 4 Er 3.40, 4 Tb 3.61

Space group: P4/mmm
Calculated formation energy (eV per atom): 0.124
D(E_F) (states/eV per atom): 1.745
Energy above the lowest structure with this stoichiometry (meV/atom): 19

---

No. 9
TbErPa: optimized geometry, PBE.

Cell lengths 3.4167, 3.4167, 8.5101 Å; angles 90.00, 90.00, 120.00 degrees
Last column: nearest neighbours and their distance in Å.
Sites, in units of the cell vectors:
Pa: 0.0000 0.0000 0.0011  3 Er 3.35, 3 Tb 3.38, 6 Pa 3.42
Tb: 0.3333 0.6667 0.6793  3 Pa 3.38, 6 Tb 3.42, 3 Er 3.64
Er: 0.6667 0.3333 0.3196  3 Pa 3.35, 6 Er 3.42, 3 Tb 3.64

Space group: P3m1
Calculated formation energy (eV per atom): 0.117
D(E_F) (states/eV per atom): 1.456
Energy above the lowest structure with this stoichiometry (meV/atom): 0

---

No. 10
Tb2ErPa: optimized geometry, PBE.

Cell lengths 3.4303, 3.4303, 11.6606 Å; angles 81.54, 81.54, 60.00 degrees
Last column: nearest neighbours and their distance in Å.
Sites, in units of the cell vectors:
Tb: 0.0854 0.0854 0.7437  6 Tb 3.43, 3 Pa 3.44, 3 Er 3.55
Tb: 0.2475 0.2475 0.2574  3 Pa 3.41, 6 Tb 3.43, 3 Er 3.56
Er: 0.6665 0.6665 0.0004  6 Er 3.43, 6 Tb 3.55-3.56
Pa: 0.5005 0.5005 0.4985  6 Tb 3.41-3.44, 6 Pa 3.43

Space group: R3m
Calculated formation energy (eV per atom): 0.115
D(E_F) (states/eV per atom): 1.464
Energy above the lowest structure with this stoichiometry (meV/atom): 0